Here is a relaxed structure of KMn2Ni from Alexandria. Energies are from PBEsol.

Computed properties:
Relative energy among the computed polymorphs (meV/atom): 133
N(E_F) (states/eV/cell): 4.31
Magnetization (μB per cell): 0.394
Total energy (eV per atom): -5.475
Formation enthalpy at 0 K (eV per atom): 1.228

Lattice parameters (Å, degrees): 4.550 4.550 4.550 60.00 60.00 60.00
Atoms (fractional coordinates):
K1 0.000 0.000 0.000
Mn1 0.500 0.500 0.500
Mn2 0.750 0.750 0.750
Ni1 0.250 0.250 0.250